Entry w
Below is a crystal of ZrRe2Tc relaxed with PBEsol, with properties calculated at the SCAN level.

Geometry as CIF:
```
data_ZrRe2Tc
_cell_length_a 2.750
_cell_length_b 4.478
_cell_length_c 5.183
_cell_angle_alpha 90.00
_cell_angle_beta 100.92
_cell_angle_gamma 90.00
_space_group_name_H-M_alt 'P 1'
_space_group_IT_number 1
_space_group_name_Hall 'P 1'
loop_
_atom_site_label
_atom_site_type_symbol
_atom_site_fract_x
_atom_site_fract_y
_atom_site_fract_z
Zr1 Zr 0.000 0.000 0.000
Re1 Re 0.239 0.500 0.742
Re2 Re 0.761 0.500 0.258
Tc1 Tc 0.500 0.000 0.500
```

Values from the calculation:
**Magnetization**: 0.0 μB/cell
**Space-group type**: P2/m

***

Entry x
Below is a crystal of ZrRe2Tc relaxed with PBEsol, with properties calculated at the SCAN level.

Geometry as CIF:
```
data_ZrRe2Tc
_cell_length_a 5.242
_cell_length_b 5.242
_cell_length_c 5.242
_cell_angle_alpha 145.38
_cell_angle_beta 128.82
_cell_angle_gamma 63.27
_space_group_name_H-M_alt 'P 1'
_space_group_IT_number 1
_space_group_name_Hall 'P 1'
loop_
_atom_site_label
_atom_site_type_symbol
_atom_site_fract_x
_atom_site_fract_y
_atom_site_fract_z
Zr1 Zr 0.000 0.000 0.000
Re1 Re 0.257 0.757 0.500
Re2 Re 0.498 0.498 0.000
Tc1 Tc 0.746 0.246 0.500
```

Values from the calculation:
**Magnetization**: 0.0 μB/cell
**Space-group type**: Imm2

***

Stability summary - winner: entry x; margin: 6.1 kJ/mol of atoms.

***

Entry w
Below is a crystal of Tl2ReOs relaxed with PBEsol, with properties calculated at the SCAN level.

Geometry as CIF:
```
data_Tl2ReOs
_cell_length_a 5.019
_cell_length_b 5.019
_cell_length_c 2.951
_cell_angle_alpha 90.00
_cell_angle_beta 90.00
_cell_angle_gamma 107.47
_space_group_name_H-M_alt 'P 1'
_space_group_IT_number 1
_space_group_name_Hall 'P 1'
loop_
_atom_site_label
_atom_site_type_symbol
_atom_site_fract_x
_atom_site_fract_y
_atom_site_fract_z
Tl1 Tl 0.000 0.500 0.000
Tl2 Tl 0.500 0.000 0.000
Re1 Re 0.000 0.000 0.500
Os1 Os 0.500 0.500 0.500
```

Values from the calculation:
**Magnetization**: 2.0 μB/cell
**Space-group type**: Cmmm

***

Entry x
Below is a crystal of Tl2ReOs relaxed with PBEsol, with properties calculated at the SCAN level.

Geometry as CIF:
```
data_Tl2ReOs
_cell_length_a 2.970
_cell_length_b 2.970
_cell_length_c 9.314
_cell_angle_alpha 90.00
_cell_angle_beta 90.00
_cell_angle_gamma 118.94
_space_group_name_H-M_alt 'P 1'
_space_group_IT_number 1
_space_group_name_Hall 'P 1'
loop_
_atom_site_label
_atom_site_type_symbol
_atom_site_fract_x
_atom_site_fract_y
_atom_site_fract_z
Tl1 Tl 0.000 0.000 0.247
Tl2 Tl 0.000 0.000 0.753
Re1 Re 0.500 0.500 0.500
Os1 Os 0.500 0.500 0.000
```

Values from the calculation:
**Magnetization**: 0.5 μB/cell
**Space-group type**: Cmmm

***

Stability summary - winner: entry x; margin: 18.0 kJ/mol of atoms.

***

Entry w
Below is a crystal of LaInBr2 relaxed with PBEsol, with properties calculated at the SCAN level.

Geometry as CIF:
```
data_LaInBr2
_cell_length_a 6.755
_cell_length_b 6.755
_cell_length_c 6.755
_cell_angle_alpha 146.25
_cell_angle_beta 139.24
_cell_angle_gamma 53.92
_space_group_name_H-M_alt 'P 1'
_space_group_IT_number 1
_space_group_name_Hall 'P 1'
loop_
_atom_site_label
_atom_site_type_symbol
_atom_site_fract_x
_atom_site_fract_y
_atom_site_fract_z
La1 La 0.000 0.000 0.000
In1 In 0.737 0.237 0.500
Br1 Br 0.193 0.693 0.500
Br2 Br 0.460 0.460 0.000
```

Values from the calculation:
**Magnetization**: 0.0 μB/cell
**Space-group type**: Imm2

***

Entry x
Below is a crystal of LaInBr2 relaxed with PBEsol, with properties calculated at the SCAN level.

Geometry as CIF:
```
data_LaInBr2
_cell_length_a 10.304
_cell_length_b 10.304
_cell_length_c 10.304
_cell_angle_alpha 20.64
_cell_angle_beta 20.64
_cell_angle_gamma 20.64
_space_group_name_H-M_alt 'P 1'
_space_group_IT_number 1
_space_group_name_Hall 'P 1'
loop_
_atom_site_label
_atom_site_type_symbol
_atom_site_fract_x
_atom_site_fract_y
_atom_site_fract_z
La1 La 0.000 0.000 0.000
In1 In 0.500 0.500 0.500
Br1 Br 0.263 0.263 0.263
Br2 Br 0.737 0.737 0.737
```

Values from the calculation:
**Magnetization**: 0.0 μB/cell
**Space-group type**: R-3m

***

Stability summary - winner: entry x; margin: 4.4 kJ/mol of atoms.

***

Entry w
Below is a crystal of LiP2ClO relaxed with PBEsol, with properties calculated at the SCAN level.

Geometry as CIF:
```
data_LiP2ClO
_cell_length_a 3.757
_cell_length_b 3.757
_cell_length_c 6.583
_cell_angle_alpha 90.00
_cell_angle_beta 90.00
_cell_angle_gamma 90.00
_space_group_name_H-M_alt 'P 1'
_space_group_IT_number 1
_space_group_name_Hall 'P 1'
loop_
_atom_site_label
_atom_site_type_symbol
_atom_site_fract_x
_atom_site_fract_y
_atom_site_fract_z
Li1 Li 0.000 0.000 0.000
P1 P 0.000 0.500 0.500
P2 P 0.500 0.000 0.500
Cl1 Cl 0.500 0.500 0.000
O1 O 0.500 0.500 0.500
```

Values from the calculation:
**Magnetization**: 0.0 μB/cell
**Space-group type**: P4/mmm

***

Entry x
Below is a crystal of LiP2ClO relaxed with PBEsol, with properties calculated at the SCAN level.

Geometry as CIF:
```
data_LiP2ClO
_cell_length_a 4.519
_cell_length_b 4.519
_cell_length_c 3.398
_cell_angle_alpha 90.00
_cell_angle_beta 90.00
_cell_angle_gamma 90.00
_space_group_name_H-M_alt 'P 1'
_space_group_IT_number 1
_space_group_name_Hall 'P 1'
loop_
_atom_site_label
_atom_site_type_symbol
_atom_site_fract_x
_atom_site_fract_y
_atom_site_fract_z
Li1 Li 0.000 0.000 0.000
P1 P 0.000 0.500 0.000
P2 P 0.500 0.000 0.000
Cl1 Cl 0.500 0.500 0.500
O1 O 0.000 0.000 0.500
```

Values from the calculation:
**Magnetization**: 0.0 μB/cell
**Space-group type**: P4/mmm

***

Stability summary - winner: entry w; margin: 86.6 kJ/mol of atoms.